[1]
Material: RbAlHgF6
Method: DFT, PBE
State: optimized geometry

Summary:
magnetization = 0.00 μB/atom
DOS at the Fermi energy = 0.00 states/eV/cell
raw total energy = -4.523 eV/atom
formation energy without anion corrections = -24.5 eV per formula unit

abc: 5.728 5.728 5.764
angles: 90.01 89.99 59.98
Fractional coordinates of all 9 atoms:
1 Al 0.333 0.333 0.500
2 F 0.589 0.347 0.684
3 F 0.590 0.064 0.316
4 F 0.064 0.590 0.684
5 F 0.064 0.346 0.316
6 F 0.346 0.064 0.684
7 F 0.347 0.589 0.316
8 Rb 0.000 0.000 0.000
9 Hg 0.667 0.667 0.500


[2]
Material: RbAl2HgF8
Method: DFT, PBE
State: optimized geometry

Summary:
magnetization = 0.08 μB/atom
DOS at the Fermi energy = 2.10 states/eV/cell
raw total energy = -4.874 eV/atom
formation energy without anion corrections = -34.8 eV per formula unit

abc: 5.798 5.798 8.258
angles: 69.45 69.45 60.00
Last column: magnetic moment on the atom in μB.
Fractional coordinates of all 12 atoms:
1 F 0.829 0.829 0.513  0.00
2 F 0.968 0.523 0.194  0.03
3 F 0.171 0.171 0.487  0.00
4 F 0.685 0.032 0.806  0.03
5 F 0.523 0.315 0.194  0.03
6 F 0.477 0.685 0.806  0.03
7 F 0.032 0.477 0.806  0.03
8 F 0.315 0.968 0.194  0.03
9 Al 0.246 0.246 0.262  0.00
10 Al 0.754 0.754 0.738  0.00
11 Rb 0.500 0.500 0.500  0.00
12 Hg 0.000 0.000 0.000  0.49